A plane-wave DFT calculation with meta-GGA SCAN was carried out for CoSi at its PBEsol-relaxed geometry.

Cell lengths 4.4994, 4.4994, 4.4994 Å; angles 48.93, 48.93, 48.93 degrees
Fractional positions:
1 Co 0.2022 0.2022 0.2022
2 Co 0.7978 0.7978 0.7978
3 Si 0.3930 0.3930 0.3930
4 Si 0.6070 0.6070 0.6070

Properties
Magnetization ... 0.000 μB/cell
Energy relative to the elements, uncorrected ... -11.8 kJ per mole of atoms
Uncorrected energy ... -13.782 eV per atom
Space group ... No. 166

=====

A plane-wave DFT calculation with meta-GGA SCAN was carried out for Co5Si at its PBEsol-relaxed geometry.

Cell lengths 3.9155, 6.3961, 6.3961 Å; angles 22.74, 90.00, 90.00 degrees
Fractional positions:
1 Co 0.0000 0.0000 0.0000
2 Co 0.0000 0.3323 0.3323
3 Co 0.0000 0.6658 0.6658
4 Co 0.5000 0.1147 0.1147
5 Co 0.5000 0.4495 0.4495
6 Si 0.5000 0.7842 0.7842

Properties
Magnetization ... 7.408 μB/cell
Energy relative to the elements, uncorrected ... -6.2 kJ per mole of atoms
Uncorrected energy ... -16.154 eV per atom
Space group ... No. 38

=====

A plane-wave DFT calculation with meta-GGA SCAN was carried out for CoSi2 at its PBEsol-relaxed geometry.

Cell lengths 6.1878, 6.1878, 3.2116 Å; angles 90.00, 90.00, 120.00 degrees
Fractional positions:
1 Co 0.0000 0.0000 0.0000
2 Co 0.3333 0.6667 0.5000
3 Co 0.6667 0.3333 0.5000
4 Si 0.0000 0.3775 0.0000
5 Si 0.0000 0.7309 0.5000
6 Si 0.2691 0.2691 0.5000
7 Si 0.3775 0.0000 0.0000
8 Si 0.6225 0.6225 0.0000
9 Si 0.7309 0.0000 0.5000

Properties
Magnetization ... 0.001 μB/cell
Energy relative to the elements, uncorrected ... -12.5 kJ per mole of atoms
Uncorrected energy ... -12.575 eV per atom
Space group ... No. 189

=====

A plane-wave DFT calculation with meta-GGA SCAN was carried out for Co5Si4 at its PBEsol-relaxed geometry.

Cell lengths 5.5083, 5.5083, 5.5083 Å; angles 95.93, 95.93, 142.51 degrees
Fractional positions:
1 Co 0.0000 0.0000 0.0000
2 Co 0.3300 0.3300 0.6600
3 Co 0.3300 0.6700 0.0000
4 Co 0.6700 0.3300 0.0000
5 Co 0.6700 0.6700 0.3400
6 Si 0.0000 0.3055 0.3055
7 Si 0.0000 0.6945 0.6945
8 Si 0.3055 0.0000 0.3055
9 Si 0.6945 0.0000 0.6945

Properties
Magnetization ... 0.000 μB/cell
Energy relative to the elements, uncorrected ... -15.2 kJ per mole of atoms
Uncorrected energy ... -14.223 eV per atom
Space group ... No. 139

=====

A plane-wave DFT calculation with meta-GGA SCAN was carried out for CoSi5 at its PBEsol-relaxed geometry.

Cell lengths 4.3387, 5.9521, 5.9521 Å; angles 31.20, 90.00, 90.00 degrees
Fractional positions:
1 Co 0.0000 0.0000 0.0000
2 Si 0.0000 0.3365 0.3365
3 Si 0.0000 0.6469 0.6469
4 Si 0.5000 0.0918 0.0918
5 Si 0.5000 0.4340 0.4340
6 Si 0.5000 0.7575 0.7575

Properties
Magnetization ... 0.000 μB/cell
Energy relative to the elements, uncorrected ... 35.6 kJ per mole of atoms
Uncorrected energy ... -10.862 eV per atom
Space group ... No. 38

=====

A plane-wave DFT calculation with meta-GGA SCAN was carried out for CoSi at its PBEsol-relaxed geometry.

Cell lengths 7.5143, 7.5143, 7.5143 Å; angles 20.58, 20.58, 20.58 degrees
Fractional positions:
1 Co 0.1220 0.1220 0.1220
2 Co 0.8780 0.8780 0.8780
3 Si 0.3801 0.3801 0.3801
4 Si 0.6199 0.6199 0.6199

Properties
Magnetization ... 2.432 μB/cell
Energy relative to the elements, uncorrected ... 7.4 kJ per mole of atoms
Uncorrected energy ... -13.583 eV per atom
Space group ... No. 166

=====

A plane-wave DFT calculation with meta-GGA SCAN was carried out for Co5Si at its PBEsol-relaxed geometry.

Cell lengths 5.4633, 5.4633, 3.4346 Å; angles 90.00, 90.00, 143.05 degrees
Fractional positions:
1 Co 0.0000 0.0000 0.0000
2 Co 0.1703 0.8297 0.5000
3 Co 0.3314 0.6686 0.0000
4 Co 0.6686 0.3314 0.0000
5 Co 0.8297 0.1703 0.5000
6 Si 0.5000 0.5000 0.5000

Properties
Magnetization ... 7.506 μB/cell
Energy relative to the elements, uncorrected ... -8.8 kJ per mole of atoms
Uncorrected energy ... -16.181 eV per atom
Space group ... No. 65

=====

A plane-wave DFT calculation with meta-GGA SCAN was carried out for Co3Si at its PBEsol-relaxed geometry.

Cell lengths 4.8852, 4.8852, 3.8992 Å; angles 90.00, 90.00, 120.00 degrees
Fractional positions:
1 Co 0.1663 0.3326 0.2500
2 Co 0.1663 0.8337 0.2500
3 Co 0.3326 0.1663 0.7500
4 Co 0.6674 0.8337 0.2500
5 Co 0.8337 0.1663 0.7500
6 Co 0.8337 0.6674 0.7500
7 Si 0.3333 0.6667 0.7500
8 Si 0.6667 0.3333 0.2500

Properties
Magnetization ... 0.003 μB/cell
Energy relative to the elements, uncorrected ... -11.7 kJ per mole of atoms
Uncorrected energy ... -15.603 eV per atom
Space group ... No. 194